1.
Density functional theory data (PBE) for crystalline MgFe2Cu2 at its relaxed geometry.

Cell and atoms, written as POSCAR:
```
MgFe2Cu2
1.0
7.2011 0.0000 0.0000
0.0000 7.2011 0.0000
0.0000 0.0000 2.6467
Mg Fe Cu
2 4 4
direct
0.0000 0.0000 0.0000
0.5000 0.5000 0.0000
0.1150 0.3850 0.0000
0.3850 0.8850 0.0000
0.6150 0.1150 0.0000
0.8850 0.6150 0.0000
0.1785 0.6785 0.5000
0.3215 0.1785 0.5000
0.6785 0.8215 0.5000
0.8215 0.3215 0.5000
```

Computed properties:
- Energy above the most stable polymorph in this dataset: 0.000 eV per atom

=====

2.
Density functional theory data (PBE) for crystalline MgFeCu at its relaxed geometry.

Cell and atoms, written as POSCAR:
```
MgFeCu
1.0
4.2810 0.0000 0.0000
-2.1405 3.7075 0.0000
0.0000 0.0000 2.6670
Mg Fe Cu
1 1 1
direct
0.0000 0.0000 0.0000
0.6667 0.3333 0.5941
0.3333 0.6667 0.3683
```

Computed properties:
- Energy above the most stable polymorph in this dataset: 0.090 eV per atom

=====

3.
Density functional theory data (PBE) for crystalline MgFeCu at its relaxed geometry.

Cell and atoms, written as POSCAR:
```
MgFeCu
1.0
-1.3763 1.3763 5.5594
1.3763 -1.3763 5.5594
1.3763 1.3763 -5.5594
Mg Fe Cu
1 1 1
direct
0.0000 0.0000 0.0000
0.6780 0.6780 0.0000
0.3240 0.3240 0.0000
```

Computed properties:
- Energy above the most stable polymorph in this dataset: 0.000 eV per atom